The following is a DFT calculation (PBE) of an optimized crystal structure of NpAg4F10.

## Properties
The uncorrected formation energy is -1939 meV/atom. The crystal system is tetragonal. The value obtained for the calculated total energy is -0.354 Ry/atom.

Cell and atoms, written as POSCAR:
```
NpAg4F10
1.0
0.393 -4.116 3.888
6.185 -3.214 0.115
2.315 2.171 6.207
Np F Ag
1 10 4
Direct
0.000 0.000 0.000
0.934 0.958 0.723
0.066 0.042 0.277
0.385 0.958 0.723
0.250 0.500 0.500
0.108 0.277 0.958
0.657 0.277 0.958
0.343 0.723 0.042
0.615 0.042 0.277
0.750 0.500 0.500
0.892 0.723 0.042
0.190 0.395 0.225
0.810 0.605 0.775
0.585 0.225 0.605
0.415 0.775 0.395
```